Computed, not measured: an optimized crystal structure of Al2CuMo at the PBE level of DFT.

Values from the calculation:
**Space group**: Cmmm
**Total moment**: 0.000 μB per atom
**Energy of formation from the pure elements**: -0.773 eV per formula unit
**Energy**: -5.7964 eV/atom
**Energy relative to the lowest polymorph listed for this composition**: 41 meV per atom

a = 4.6230 Å, b = 4.6230 Å, c = 2.8110 Å
α = 90.00°, β = 90.00°, γ = 103.70°
Atoms (fractional coordinates):
1 Al 0.0000 0.5000 0.0000
2 Al 0.5000 0.0000 0.0000
3 Cu 0.0000 0.0000 0.5000
4 Mo 0.5000 0.5000 0.5000